A relaxed SrCaS3 crystal. Source: Alexandria via LeMat-Bulk, functional PBE.

Cell and atoms, written as extended XYZ:
```
5
Lattice="5.209 0.000 0.000 0.000 5.209 0.000 0.000 0.000 5.209" Properties=species:S:1:pos:R:3 pbc="T T T"
Sr 0.000 0.000 0.000
Ca 2.604 2.604 2.604
S 0.000 2.604 2.604
S 2.604 0.000 2.604
S 2.604 2.604 0.000
```

- energy above the lowest structure with this stoichiometry (eV/atom) = 0.000



A relaxed SrCaS2 crystal. Source: Alexandria via LeMat-Bulk, functional PBE.

Cell and atoms, written as extended XYZ:
```
4
Lattice="4.176 0.000 0.000 0.000 4.176 0.000 0.000 0.000 5.903" Properties=species:S:1:pos:R:3 pbc="T T T"
Sr 0.000 0.000 0.000
Ca 2.088 2.088 2.951
S 0.000 0.000 2.951
S 2.088 2.088 0.000
```

- energy above the lowest structure with this stoichiometry (eV/atom) = 0.017



A relaxed SrCa2S crystal. Source: Alexandria via LeMat-Bulk, functional PBE.

Cell and atoms, written as extended XYZ:
```
4
Lattice="1.979 1.142 10.582 -1.979 1.142 10.582 0.000 -2.285 10.582" Properties=species:S:1:pos:R:3 pbc="T T T"
Sr 0.000 0.000 0.000
Ca 0.000 0.000 3.612
Ca 0.000 0.000 28.134
S 0.000 0.000 15.873
```



A relaxed SrCaS2 crystal. Source: Alexandria via LeMat-Bulk, functional PBE.

Cell and atoms, written as extended XYZ:
```
4
Lattice="0.000 3.584 3.584 3.584 0.000 3.584 3.584 3.584 0.000" Properties=species:S:1:pos:R:3 pbc="T T T"
Sr 0.000 0.000 0.000
Ca 3.584 3.584 3.584
S 1.792 1.792 1.792
S 5.375 5.375 5.375
```

- energy above the lowest structure with this stoichiometry (eV/atom) = 0.338



A relaxed Sr4CaS5 crystal. Source: Alexandria via LeMat-Bulk, functional PBE.

Cell and atoms, written as extended XYZ:
```
10
Lattice="-2.124 2.124 14.983 2.124 -2.124 14.983 2.124 2.124 -14.983" Properties=species:S:1:pos:R:3 pbc="T T T"
Sr 0.000 0.000 2.940
Sr 0.000 0.000 9.018
Sr 0.000 0.000 20.947
Sr 0.000 0.000 27.025
Ca 0.000 0.000 14.983
S 0.000 0.000 0.000
S 0.000 0.000 5.980
S 0.000 0.000 12.081
S 0.000 0.000 17.884
S 0.000 0.000 23.985
```



A relaxed Sr2CaS3 crystal. Source: Alexandria via LeMat-Bulk, functional PBE.

Cell and atoms, written as extended XYZ:
```
6
Lattice="-2.101 2.984 6.312 2.101 -2.984 6.312 2.101 2.984 -6.312" Properties=species:S:1:pos:R:3 pbc="T T T"
Sr 0.000 0.000 2.106
Sr 0.000 0.000 10.517
Ca 0.000 0.000 6.312
S 2.101 0.000 0.000
S 2.101 0.000 4.304
S 0.000 2.984 2.007
```



A relaxed Sr2Ca2S crystal. Source: Alexandria via LeMat-Bulk, functional PBE.

Cell and atoms, written as extended XYZ:
```
10
Lattice="7.909 0.000 0.000 0.000 7.909 0.000 0.000 0.000 7.012" Properties=species:S:1:pos:R:3 pbc="T T T"
Sr 1.426 2.528 0.000
Sr 2.528 6.483 0.000
Sr 5.380 1.426 0.000
Sr 6.483 5.380 0.000
Ca 1.267 5.221 3.506
Ca 2.688 1.267 3.506
Ca 5.221 6.642 3.506
Ca 6.642 2.688 3.506
S 0.000 0.000 0.000
S 3.954 3.954 0.000
```

- energy above the lowest structure with this stoichiometry (eV/atom) = 0.009



A relaxed SrCaS2 crystal. Source: Alexandria via LeMat-Bulk, functional PBE.

Cell and atoms, written as extended XYZ:
```
4
Lattice="2.082 1.202 6.806 -2.082 1.202 6.806 0.000 -2.404 6.806" Properties=species:S:1:pos:R:3 pbc="T T T"
Sr 0.000 0.000 0.000
Ca 0.000 0.000 10.209
S 0.000 0.000 5.014
S 0.000 0.000 15.403
```

- energy above the lowest structure with this stoichiometry (eV/atom) = 0.000



A relaxed Sr3CaS4 crystal. Source: Alexandria via LeMat-Bulk, functional PBE.

Cell and atoms, written as extended XYZ:
```
8
Lattice="4.230 -5.981 0.000 4.230 5.981 0.000 0.000 0.000 4.229" Properties=species:S:1:pos:R:3 pbc="T T T"
Sr 0.000 0.000 0.000
Sr 2.115 2.990 2.115
Sr 2.115 -2.990 2.115
Ca 4.230 0.000 0.000
S 4.230 2.938 0.000
S 2.187 0.000 2.115
S 6.272 0.000 2.115
S 4.230 -2.938 0.000
```



A relaxed SrCaS2 crystal. Source: Alexandria via LeMat-Bulk, functional PBE.

Cell and atoms, written as extended XYZ:
```
4
Lattice="2.266 1.308 8.116 -2.266 1.308 8.116 0.000 -2.616 8.116" Properties=species:S:1:pos:R:3 pbc="T T T"
Sr 0.000 0.000 0.000
Ca 0.000 0.000 12.175
S 0.000 0.000 9.654
S 0.000 0.000 14.696
```

- energy above the lowest structure with this stoichiometry (eV/atom) = 0.712



A relaxed SrCa2S2 crystal. Source: Alexandria via LeMat-Bulk, functional PBE.

Cell and atoms, written as extended XYZ:
```
10
Lattice="7.901 0.000 0.000 0.000 7.901 0.000 0.000 0.000 4.096" Properties=species:S:1:pos:R:3 pbc="T T T"
Sr 0.000 0.000 0.000
Sr 3.951 3.951 0.000
Ca 1.236 2.715 2.048
Ca 2.715 6.665 2.048
Ca 5.187 1.236 2.048
Ca 6.665 5.187 2.048
S 1.214 5.165 0.000
S 2.736 1.214 0.000
S 5.165 6.687 0.000
S 6.687 2.736 0.000
```



A relaxed Sr2CaS crystal. Source: Alexandria via LeMat-Bulk, functional PBE.

Cell and atoms, written as extended XYZ:
```
4
Lattice="2.048 1.183 11.005 -2.048 1.183 11.005 0.000 -2.365 11.005" Properties=species:S:1:pos:R:3 pbc="T T T"
Sr 0.000 0.000 3.696
Sr 0.000 0.000 29.321
Ca 0.000 0.000 0.000
S 0.000 0.000 16.508
```



A relaxed SrCa2TbS4 crystal. Source: Alexandria via LeMat-Bulk, functional PBE.

Cell and atoms, written as extended XYZ:
```
8
Lattice="7.016 0.000 0.000 0.000 4.049 0.000 -2.338 0.000 6.663" Properties=species:S:1:pos:R:3 pbc="T T T"
Sr 0.000 0.000 0.000
Ca 2.339 0.000 3.332
Ca 3.508 2.025 0.000
Tb -1.169 2.025 3.332
S 0.016 0.000 4.927
S 1.177 2.025 1.756
S 3.501 2.025 4.907
S 4.661 0.000 1.736
```



A relaxed SrCa2TlS crystal. Source: Alexandria via LeMat-Bulk, functional PBE.

Cell and atoms, written as extended XYZ:
```
5
Lattice="5.387 0.000 0.000 0.000 5.387 0.000 0.000 0.000 5.759" Properties=species:S:1:pos:R:3 pbc="T T T"
Sr 0.000 0.000 0.000
Ca 0.000 2.693 2.880
Ca 2.693 0.000 2.880
Tl 2.693 2.693 0.000
S 0.000 0.000 2.880
```



A relaxed SrCaTm4S8 crystal. Source: Alexandria via LeMat-Bulk, functional PBE.

Cell and atoms, written as extended XYZ:
```
14
Lattice="4.044 2.335 6.693 -4.044 2.335 6.693 0.000 -4.670 6.693" Properties=species:S:1:pos:R:3 pbc="T T T"
Sr 0.000 0.000 0.000
Ca 0.000 0.000 12.567
Tm -2.065 -1.192 9.166
Tm 0.000 0.000 4.963
Tm 2.065 -1.192 9.167
Tm 0.000 2.385 9.167
S 0.000 -2.235 10.745
S -1.935 1.117 10.745
S 0.000 0.000 7.644
S -1.809 -1.044 14.396
S 1.935 1.117 10.745
S 0.000 0.000 17.268
S 1.809 -1.044 14.396
S 0.000 2.089 14.396
```



A relaxed Sr2CaUS6 crystal. Source: Alexandria via LeMat-Bulk, functional PBE.

Cell and atoms, written as extended XYZ:
```
20
Lattice="6.945 0.000 0.000 0.000 7.473 0.000 -6.842 0.000 10.099" Properties=species:S:1:pos:R:3 pbc="T T T"
Sr -0.172 0.610 2.487
Sr -3.593 3.126 7.537
Sr 3.695 4.347 2.563
Sr 0.274 6.862 7.612
Ca -3.421 0.000 5.050
Ca 0.000 3.736 0.000
U 3.472 0.000 0.000
U 0.051 3.736 5.050
S -5.441 1.370 9.529
S -2.020 2.367 4.479
S -4.595 5.300 9.441
S -1.174 5.909 4.391
S -2.578 0.299 7.692
S 0.843 3.437 2.642
S -0.741 4.035 7.457
S 2.681 7.174 2.408
S 1.277 1.564 5.708
S 4.698 2.173 0.658
S 2.123 5.106 5.620
S 5.544 6.103 0.571
```



A relaxed SrCa2US6 crystal. Source: Alexandria via LeMat-Bulk, functional PBE.

Cell and atoms, written as extended XYZ:
```
10
Lattice="3.532 2.039 6.275 -3.532 2.039 6.275 0.000 -4.078 6.275" Properties=species:S:1:pos:R:3 pbc="T T T"
Sr 0.000 0.000 0.000
Ca 0.000 0.000 5.354
Ca 0.000 0.000 15.022
U 0.000 0.000 9.119
S -1.982 -0.101 7.492
S -1.254 -1.787 10.499
S 1.079 -1.666 7.492
S -0.921 1.979 10.499
S 0.904 1.767 7.492
S 2.174 -0.192 10.499
```



A relaxed SrCaY2S4 crystal. Source: Alexandria via LeMat-Bulk, functional PBE.

Cell and atoms, written as extended XYZ:
```
8
Lattice="6.920 0.000 0.000 0.000 3.997 0.000 -2.308 0.000 6.673" Properties=species:S:1:pos:R:3 pbc="T T T"
Sr 0.000 0.000 0.000
Ca 3.460 1.998 0.000
Y -1.154 1.998 3.336
Y 2.306 0.000 3.336
S 0.041 0.000 4.937
S 1.192 1.998 1.768
S 3.420 1.998 4.905
S 4.571 0.000 1.735
```



A relaxed Sr2CaYS4 crystal. Source: Alexandria via LeMat-Bulk, functional PBE.

Cell and atoms, written as extended XYZ:
```
8
Lattice="7.109 0.000 0.000 0.000 4.095 0.000 -2.359 0.000 6.764" Properties=species:S:1:pos:R:3 pbc="T T T"
Sr 0.000 0.000 0.000
Sr 3.554 2.047 0.000
Ca -1.180 2.047 3.382
Y 2.375 0.000 3.382
S 0.044 0.000 4.951
S 1.217 2.047 1.825
S 3.533 2.047 4.939
S 4.705 0.000 1.812
```



A relaxed SrCaZnS2 crystal. Source: Alexandria via LeMat-Bulk, functional PBE.

Cell and atoms, written as extended XYZ:
```
5
Lattice="5.473 0.000 0.000 0.000 5.473 0.000 0.000 0.000 6.488" Properties=species:S:1:pos:R:3 pbc="T T T"
Sr 0.000 0.000 0.000
Ca 0.000 0.000 3.244
Zn 2.737 2.737 3.244
S 0.000 2.737 0.000
S 2.737 0.000 0.000
```



| no. | uncorrected energy (eV for the cell shown) | raw formation energy (eV per atom) |
| --- | --- | --- |
| 1 | -20.95 | -0.976 |
| 2 | -20.43 | -2.124 |
| 3 | -13.36 | -0.887 |
| 4 | -19.15 | -1.803 |
| 5 | -50.75 | -2.138 |
| 6 | -30.57 | -2.137 |
| 7 | -27.78 | -0.479 |
| 8 | -20.50 | -2.141 |
| 9 | -40.67 | -2.139 |
| 10 | -17.66 | -1.429 |
| 11 | -42.03 | -1.415 |
| 12 | -12.94 | -0.862 |
| 13 | -43.45 | -2.078 |
| 14 | -16.76 | -0.916 |
| 15 | -82.86 | -2.019 |
| 16 | -117.82 | -1.749 |
| 17 | -58.66 | -1.692 |
| 18 | -49.47 | -2.043 |
| 19 | -45.04 | -2.088 |
| 20 | -12.76 | 0.091 |